VASP calculation (PBE with a Hubbard U) on a relaxed Ba2V5P4O24 crystal.

abc: 13.259 13.259 7.823
angles: 100.90 100.90 123.70
Fractional positions:
Ba 0.000 0.000 0.000
Ba 0.146 0.146 0.578
Ba 0.295 0.791 0.535
Ba 0.791 0.295 0.535
V 0.036 0.673 0.797
V 0.037 0.412 0.272
V 0.194 0.482 0.737
V 0.351 0.351 0.204
V 0.412 0.037 0.272
V 0.482 0.194 0.737
V 0.600 0.877 0.326
V 0.673 0.036 0.797
V 0.695 0.695 0.829
V 0.877 0.600 0.326
P 0.103 0.839 0.221
P 0.244 0.978 0.852
P 0.324 0.580 0.217
P 0.488 0.748 0.849
P 0.580 0.324 0.217
P 0.748 0.488 0.849
P 0.839 0.103 0.221
P 0.978 0.244 0.852
O 0.025 0.347 0.758
O 0.035 0.778 0.001
O 0.041 0.307 0.069
O 0.044 0.730 0.305
O 0.089 0.475 0.515
O 0.092 0.946 0.291
O 0.109 0.614 0.865
O 0.142 0.996 0.785
O 0.184 0.829 0.795
O 0.213 0.556 0.288
O 0.233 0.393 0.642
O 0.239 0.239 0.268
O 0.246 0.886 0.271
O 0.282 0.540 0.007
O 0.297 0.297 0.975
O 0.307 0.041 0.069
O 0.339 0.661 0.757
O 0.347 0.025 0.758
O 0.374 0.508 0.287
O 0.393 0.233 0.642
O 0.431 0.730 0.319
O 0.463 0.956 0.195
O 0.475 0.089 0.515
O 0.508 0.374 0.287
O 0.532 0.863 0.779
O 0.538 0.797 0.062
O 0.539 0.675 0.776
O 0.540 0.282 0.007
O 0.556 0.213 0.288
O 0.611 0.974 0.544
O 0.614 0.109 0.865
O 0.661 0.339 0.757
O 0.675 0.539 0.776
O 0.689 0.837 0.396
O 0.730 0.044 0.305
O 0.730 0.431 0.319
O 0.778 0.035 0.001
O 0.782 0.782 0.716
O 0.786 0.786 0.049
O 0.797 0.538 0.062
O 0.829 0.184 0.795
O 0.837 0.689 0.396
O 0.863 0.532 0.779
O 0.886 0.246 0.271
O 0.946 0.092 0.291
O 0.956 0.463 0.195
O 0.974 0.611 0.544
O 0.996 0.142 0.785

Results
As for the total energy: -7.4025 eV per atom. The crystal system is monoclinic. As for the symmetry: Cm, No. 8.